1.
VASP calculation (GGA-PBE) on crystalline PmNdHoSc at its relaxed geometry.

Output
- theoretical density (g/cm3) = 6.6
- energy of formation (eV/atom) = 0.10
- electronic total energy (eV/atom) = -5.007

Cell and atoms, written as CIF:
```
data_PmNdHoSc
_chemical_formula_sum 'Pm4 Nd4 Ho4 Sc4'
_symmetry_space_group_name_H-M 'F -4 3 m'
_symmetry_Int_Tables_number 216
_symmetry_space_group_name_Hall 'F -4 2 3'
_cell_length_a 7.938
_cell_length_b 7.938
_cell_length_c 7.938
_cell_angle_alpha 90.00
_cell_angle_beta 90.00
_cell_angle_gamma 90.00
loop_
_atom_site_label
_atom_site_type_symbol
_atom_site_fract_x
_atom_site_fract_y
_atom_site_fract_z
Pm1 Pm 0.000 0.000 0.000
Nd1 Nd 0.000 0.000 0.500
Ho1 Ho 0.250 0.250 0.750
Sc1 Sc 0.250 0.250 0.250
```

2.
VASP calculation (GGA-PBE) on crystalline Ac8PPd3Br4 at its relaxed geometry.

Output
- theoretical density (g/cm3) = 7.5
- electronic total energy (eV/atom) = -4.918
- formation energy from raw total energies (eV per atom) = -1.133

Cell and atoms, written as CIF:
```
data_Ac8PPd3Br4
_chemical_formula_sum 'Ac24 P3 Pd9 Br12'
_symmetry_space_group_name_H-M 'R -3 m'
_symmetry_Int_Tables_number 166
_symmetry_space_group_name_Hall '-R 3 2"'
_cell_length_a 8.9032
_cell_length_b 8.9032
_cell_length_c 24.0729
_cell_angle_alpha 90.00
_cell_angle_beta 90.00
_cell_angle_gamma 120.00
loop_
_atom_site_label
_atom_site_type_symbol
_atom_site_fract_x
_atom_site_fract_y
_atom_site_fract_z
Ac1 Ac 0.0000 0.0000 0.2330
Ac2 Ac 0.0008 0.5004 0.7642
P1 P 0.0000 0.0000 0.5000
Pd1 Pd 0.0000 0.5000 0.5000
Br1 Br 0.0000 0.0000 0.0000
Br2 Br 0.0000 0.5000 0.0000
```

3.
VASP calculation (GGA-PBE) on crystalline ReSiAu4 at its relaxed geometry.

Output
- theoretical density (g/cm3) = 14.5
- electronic total energy (eV/atom) = -4.242
- formation energy from raw total energies (eV per atom) = 0.921

Cell and atoms, written as CIF:
```
data_ReSiAu4
_chemical_formula_sum 'Re4 Si4 Au16'
_symmetry_space_group_name_H-M 'F -4 3 m'
_symmetry_Int_Tables_number 216
_symmetry_space_group_name_Hall 'F -4 2 3'
_cell_length_a 7.710
_cell_length_b 7.710
_cell_length_c 7.710
_cell_angle_alpha 90.00
_cell_angle_beta 90.00
_cell_angle_gamma 90.00
loop_
_atom_site_label
_atom_site_type_symbol
_atom_site_fract_x
_atom_site_fract_y
_atom_site_fract_z
Re1 Re 0.000 0.000 0.000
Si1 Si 0.250 0.250 0.250
Au1 Au 0.125 0.125 0.625
```